<one>
# HfInI2O

A geometry-optimized HfInI2O structure (PBE, the Alexandria database).

The structure in extended XYZ format:
```
5
Lattice="-5.6209 2.0415 0.3174 -1.6216 -3.7895 -4.3443 -0.8540 -2.7777 2.7417" Properties=species:S:1:pos:R:3 pbc="T T T"
I -2.8105 1.0207 0.1587
I -0.8108 -1.8947 -2.1722
O -0.4270 -1.3888 1.3708
In -4.0483 -2.2628 -0.6426
Hf 0.0000 0.0000 0.0000
```

Values from the calculation:
Density of states at the Fermi level   1.82 states/eV/cell


<two>
# HfInI2O

A geometry-optimized HfInI2O structure (PBE, the Alexandria database).

The structure in extended XYZ format:
```
5
Lattice="6.0476 0.0000 0.0000 0.0000 6.0476 0.0000 0.0000 0.0000 3.8863" Properties=species:S:1:pos:R:3 pbc="T T T"
I 0.0000 3.0238 0.0000
I 3.0238 0.0000 0.0000
O 0.0000 0.0000 1.9431
Hf 3.0238 3.0238 1.9431
In 0.0000 0.0000 0.0000
```

Values from the calculation:
Density of states at the Fermi level   5.46 states/eV/cell


Which structure is most stable, and how do the rest compare? From most to least stable: <one>, <two>.


<one>
# Rb2HfInI6

A geometry-optimized Rb2HfInI6 structure (PBE, the Alexandria database).

The structure in extended XYZ format:
```
10
Lattice="-6.5665 1.7612 5.5555 4.8309 -3.0368 6.6727 1.4380 5.0539 7.0351" Properties=species:S:1:pos:R:3 pbc="T T T"
I -0.4042 -0.2971 2.8477
I 2.1767 -1.9194 6.4125
I 0.3640 2.4029 6.6061
I -3.9123 0.6438 5.8157
I -0.6616 1.3754 12.6572
I -1.3314 -0.9785 9.3805
Hf 0.0000 0.0000 0.0000
In -0.8678 -0.6378 6.1141
Rb -2.9981 3.0886 9.3524
Rb 2.7006 0.6897 9.9109
```

Values from the calculation:
Density of states at the Fermi level   6.68 states/eV/cell


<two>
# Rb2HfInI6

A geometry-optimized Rb2HfInI6 structure (PBE, the Alexandria database).

The structure in extended XYZ format:
```
20
Lattice="-3.3778 -4.5265 -6.1436 3.9200 -6.8131 -2.8034 -7.8977 -13.0726 8.3059" Properties=species:S:1:pos:R:3 pbc="T T T"
I -4.5992 -11.6236 -3.0246
I -2.7564 -12.7886 2.3835
I -2.3807 -6.9447 -4.9102
I 1.3698 -8.1198 -3.1936
I -0.3661 -10.4460 -6.3509
I -2.9415 -9.4023 -0.0097
I -8.7253 -16.2924 2.5525
I -4.4140 -15.0099 -0.6314
I -1.0179 -12.7457 -1.3854
I -4.9749 -17.4675 4.2691
I -6.9894 -13.9662 5.7098
I -6.3377 -11.6665 0.7443
Rb -6.9690 -19.9799 1.5487
Rb -0.3865 -4.4323 -2.1898
Rb -4.4860 -9.1481 3.5386
Rb -2.8696 -15.2642 -4.1797
Hf 0.0000 0.0000 0.0000
Hf -3.6778 -12.2061 -0.3205
In -1.6937 -9.9238 -3.0930
In -5.6619 -14.4885 2.4519
```

Values from the calculation:
Density of states at the Fermi level   12.26 states/eV/cell


Which structure is most stable, and how do the rest compare? From most to least stable: <two>, <one>.


<one>
# HfInTe2I

A geometry-optimized HfInTe2I structure (PBE, the Alexandria database).

The structure in extended XYZ format:
```
5
Lattice="-0.8533 -5.1879 1.9614 5.0614 0.0830 2.4217 -2.3369 2.2024 4.8088" Properties=species:S:1:pos:R:3 pbc="T T T"
Te 2.5307 0.0415 1.2108
Te -0.4267 -2.5940 0.9807
In 0.9356 -1.4512 4.5959
I -1.1685 1.1012 2.4044
Hf 0.0000 0.0000 0.0000
```

Values from the calculation:
Density of states at the Fermi level   1.55 states/eV/cell


<two>
# HfInTe2I

A geometry-optimized HfInTe2I structure (PBE, the Alexandria database).

The structure in extended XYZ format:
```
5
Lattice="5.6267 0.0000 0.0000 0.0000 5.6267 0.0000 0.0000 0.0000 5.5619" Properties=species:S:1:pos:R:3 pbc="T T T"
In 0.0000 0.0000 0.0000
Te 0.0000 2.8134 0.0000
Te 2.8134 0.0000 0.0000
Hf 2.8134 2.8134 2.7810
I 0.0000 0.0000 2.7810
```

Values from the calculation:
Density of states at the Fermi level   3.70 states/eV/cell


Which structure is most stable, and how do the rest compare? From most to least stable: <one>, <two>.


<one>
# Hf2IrI

A geometry-optimized Hf2IrI structure (PBE, the Alexandria database).

The structure in extended XYZ format:
```
8
Lattice="-0.3156 6.1143 0.8459 -5.8136 -0.5791 2.0166 -0.8798 2.0380 7.5201" Properties=species:S:1:pos:R:3 pbc="T T T"
Hf -6.4217 6.3321 8.2830
Hf -2.5595 3.6439 6.5751
Hf -3.8712 0.4925 3.1881
Hf -1.1656 4.6780 2.7188
I -3.0646 2.7676 1.4312
I -4.8790 2.1133 5.4839
Ir -2.1300 5.4599 4.8986
Ir 0.0000 0.0000 0.0000
```

Values from the calculation:
Density of states at the Fermi level   4.95 states/eV/cell


<two>
# Hf2IrI

A geometry-optimized Hf2IrI structure (PBE, the Alexandria database).

The structure in extended XYZ format:
```
4
Lattice="3.5226 -2.8802 1.6921 -1.1097 -3.7888 2.8251 0.4691 -4.5204 -1.7069" Properties=species:S:1:pos:R:3 pbc="T T T"
Hf 0.7205 -2.7973 0.7026
Hf 2.1616 -8.3920 2.1077
I 0.0000 0.0000 0.0000
Ir 1.4410 -5.5946 1.4051
```

Values from the calculation:
Density of states at the Fermi level   4.27 states/eV/cell


Which structure is most stable, and how do the rest compare? From most to least stable: <two>, <one>.